A plane-wave DFT calculation with PBE was carried out for a geometry-optimized HoLuSnPb structure.

Cell lengths 5.3570, 5.3570, 5.3570 Å; angles 60.00, 60.00, 60.00 degrees
Closest atoms and distances in Å follow each position.
Fractional positions:
Ho (0.0000, 0.0000, 0.0000)  4 Pb 3.28, 4 Sn 3.28
Lu (0.5000, 0.5000, 0.5000)  4 Sn 3.28, 4 Pb 3.28
Sn (0.2500, 0.2500, 0.2500)  4 Ho 3.28, 4 Lu 3.28
Pb (0.7500, 0.7500, 0.7500)  4 Lu 3.28, 4 Ho 3.28

Formation energy ... -0.41 eV per atom
Mass density ... 10.17 g cm⁻³
Symmetry ... F-43m



A plane-wave DFT calculation with PBE was carried out for a geometry-optimized HoLuTlPb structure.

Cell lengths 5.3679, 5.3679, 5.3679 Å; angles 60.00, 60.00, 60.00 degrees
Closest atoms and distances in Å follow each position.
Fractional positions:
Ho (0.0000, 0.0000, 0.0000)  4 Tl 3.29, 4 Pb 3.29
Lu (0.5000, 0.5000, 0.5000)  4 Tl 3.29, 4 Pb 3.29
Tl (0.7500, 0.7500, 0.7500)  4 Lu 3.29, 4 Ho 3.29
Pb (0.2500, 0.2500, 0.2500)  4 Lu 3.29, 4 Ho 3.29

Formation energy ... -0.30 eV per atom
Mass density ... 11.41 g cm⁻³
Symmetry ... F-43m



A plane-wave DFT calculation with PBE was carried out for a geometry-optimized HoLuPd2 structure.

Cell lengths 4.9059, 4.9059, 4.9059 Å; angles 60.00, 60.00, 60.00 degrees
Closest atoms and distances in Å follow each position.
Fractional positions:
Ho (0.0000, 0.0000, 0.0000)  8 Pd 3.00
Lu (0.5000, 0.5000, 0.5000)  8 Pd 3.00
Pd (0.2500, 0.2500, 0.2500)  4 Ho 3.00, 4 Lu 3.00
Pd (0.7500, 0.7500, 0.7500)  4 Ho 3.00, 4 Lu 3.00

Energy relative to the lowest polymorph listed for this composition ... 0 meV/atom
Formation energy ... -0.94 eV per atom
Mass density ... 10.99 g cm⁻³
Symmetry ... Fm-3m



A plane-wave DFT calculation with PBE was carried out for a geometry-optimized HoLuPd2 structure.

Cell lengths 6.9552, 6.9552, 6.9552 Å; angles 33.78, 33.78, 33.78 degrees
Closest atoms and distances in Å follow each position.
Fractional positions:
Ho (0.0000, 0.0000, 0.0000)  6 Pd 2.88
Lu (0.5000, 0.5000, 0.5000)  6 Pd 2.82
Pd (0.2476, 0.2476, 0.2476)  3 Lu 2.82, 3 Ho 2.88
Pd (0.7524, 0.7524, 0.7524)  3 Lu 2.82, 3 Ho 2.88

Energy relative to the lowest polymorph listed for this composition ... 184 meV/atom
Formation energy ... -0.75 eV per atom
Mass density ... 9.90 g cm⁻³
Symmetry ... R-3m



A plane-wave DFT calculation with PBE was carried out for a geometry-optimized HoLuPd2 structure.

Cell lengths 4.9343, 4.9343, 3.4126 Å; angles 90.00, 90.00, 90.00 degrees
Closest atoms and distances in Å follow each position.
Fractional positions:
Ho (0.0000, 0.0000, 0.0000)  8 Pd 3.00
Lu (0.5000, 0.5000, 0.0000)  8 Pd 3.00
Pd (0.0000, 0.5000, 0.5000)  4 Ho 3.00, 4 Lu 3.00
Pd (0.5000, 0.0000, 0.5000)  4 Ho 3.00, 4 Lu 3.00

Energy relative to the lowest polymorph listed for this composition ... 4 meV/atom
Formation energy ... -0.93 eV per atom
Mass density ... 11.05 g cm⁻³
Symmetry ... P4/mmm



A plane-wave DFT calculation with PBE was carried out for a geometry-optimized Ho2LuPd structure.

Cell lengths 3.5521, 3.5521, 8.2325 Å; angles 90.00, 90.00, 90.00 degrees
Closest atoms and distances in Å follow each position.
Fractional positions:
Ho (0.0000, 0.0000, 0.2033)  4 Pd 3.02, 1 Ho 3.35
Ho (0.0000, 0.0000, 0.7967)  4 Pd 3.02, 1 Ho 3.35
Lu (0.5000, 0.5000, 0.5000)  8 Ho 3.50, 4 Lu 3.55
Pd (0.5000, 0.5000, 0.0000)  8 Ho 3.02

Energy relative to the lowest polymorph listed for this composition ... 0 meV/atom
Formation energy ... -0.41 eV per atom
Mass density ... 9.77 g cm⁻³
Symmetry ... P4/mmm



A plane-wave DFT calculation with PBE was carried out for a geometry-optimized HoLuPd4 structure.

Cell lengths 5.4144, 5.4144, 5.4144 Å; angles 60.00, 60.00, 60.00 degrees
Closest atoms and distances in Å follow each position.
Fractional positions:
Ho (0.0000, 0.0000, 0.0000)  12 Pd 3.17, 4 Lu 3.32
Lu (0.2500, 0.2500, 0.2500)  12 Pd 3.17, 4 Ho 3.32
Pd (0.1254, 0.6249, 0.6249)  6 Pd 2.70-2.71
Pd (0.6249, 0.1254, 0.6249)  6 Pd 2.70-2.71
Pd (0.6249, 0.6249, 0.1254)  6 Pd 2.70-2.71
Pd (0.6249, 0.6249, 0.6249)  6 Pd 2.70-2.71

Formation energy ... -0.82 eV per atom
Mass density ... 11.33 g cm⁻³
Symmetry ... F-43m



A plane-wave DFT calculation with PBE was carried out for a geometry-optimized HoLu2Pd structure.

Cell lengths 5.1760, 5.1760, 5.1760 Å; angles 60.00, 60.00, 60.00 degrees
Closest atoms and distances in Å follow each position.
Fractional positions:
Ho (0.0000, 0.0000, 0.0000)  8 Lu 3.17
Lu (0.2500, 0.2500, 0.2500)  4 Ho 3.17, 4 Pd 3.17
Lu (0.7500, 0.7500, 0.7500)  4 Ho 3.17, 4 Pd 3.17
Pd (0.5000, 0.5000, 0.5000)  8 Lu 3.17

Energy relative to the lowest polymorph listed for this composition ... 305 meV/atom
Formation energy ... -0.15 eV per atom
Mass density ... 10.52 g cm⁻³
Symmetry ... Fm-3m



A plane-wave DFT calculation with PBE was carried out for a geometry-optimized Ho2LuPd structure.

Cell lengths 10.7719, 10.7719, 10.7719 Å; angles 18.90, 18.90, 18.90 degrees
Closest atoms and distances in Å follow each position.
Fractional positions:
Ho (0.1048, 0.1048, 0.1048)  3 Pd 2.83
Ho (0.8952, 0.8952, 0.8952)  3 Pd 2.83
Lu (0.0000, 0.0000, 0.0000)  2 Ho 3.33, 6 Lu 3.54
Pd (0.5000, 0.5000, 0.5000)  6 Ho 2.83

Energy relative to the lowest polymorph listed for this composition ... 325 meV/atom
Formation energy ... -0.09 eV per atom
Mass density ... 8.86 g cm⁻³
Symmetry ... R-3m



A plane-wave DFT calculation with PBE was carried out for a geometry-optimized HoLu2Pd structure.

Cell lengths 3.5042, 3.5042, 8.2566 Å; angles 90.00, 90.00, 90.00 degrees
Closest atoms and distances in Å follow each position.
Fractional positions:
Ho (0.0000, 0.0000, 0.0000)  4 Ho 3.50, 8 Lu 3.51
Lu (0.5000, 0.5000, 0.3005)  4 Pd 2.98, 1 Lu 3.29
Lu (0.5000, 0.5000, 0.6995)  4 Pd 2.98, 1 Lu 3.29
Pd (0.0000, 0.0000, 0.5000)  8 Lu 2.98

Energy relative to the lowest polymorph listed for this composition ... 0 meV/atom
Formation energy ... -0.45 eV per atom
Mass density ... 10.18 g cm⁻³
Symmetry ... P4/mmm



A plane-wave DFT calculation with PBE was carried out for a geometry-optimized HoLuPdRu structure.

Cell lengths 4.8138, 4.8138, 4.8138 Å; angles 60.00, 60.00, 60.00 degrees
Closest atoms and distances in Å follow each position.
Fractional positions:
Ho (0.0000, 0.0000, 0.0000)  4 Pd 2.95, 4 Ru 2.95
Lu (0.5000, 0.5000, 0.5000)  4 Pd 2.95, 4 Ru 2.95
Pd (0.7500, 0.7500, 0.7500)  4 Lu 2.95, 4 Ho 2.95
Ru (0.2500, 0.2500, 0.2500)  4 Ho 2.95, 4 Lu 2.95

Formation energy ... -0.72 eV per atom
Mass density ... 11.52 g cm⁻³
Symmetry ... F-43m



A plane-wave DFT calculation with PBE was carried out for a geometry-optimized HoLuSnPd structure.

Cell lengths 5.0950, 5.0950, 5.0950 Å; angles 60.00, 60.00, 60.00 degrees
Closest atoms and distances in Å follow each position.
Fractional positions:
Ho (0.0000, 0.0000, 0.0000)  4 Pd 3.12, 4 Sn 3.12
Lu (0.5000, 0.5000, 0.5000)  4 Sn 3.12, 4 Pd 3.12
Sn (0.2500, 0.2500, 0.2500)  4 Ho 3.12, 4 Lu 3.12
Pd (0.7500, 0.7500, 0.7500)  4 Ho 3.12, 4 Lu 3.12

Formation energy ... -0.74 eV per atom
Mass density ... 10.03 g cm⁻³
Symmetry ... F-43m